(1)
# Nb3Al2 (PBE, relaxed)
data_Nb3Al2
_chemical_formula_sum 'Nb12 Al8'
_cell_length_a 10.284
_cell_length_b 3.511
_cell_length_c 10.043
_cell_angle_alpha 90.00
_cell_angle_beta 90.00
_cell_angle_gamma 90.00
_symmetry_space_group_name_H-M 'P n m a'
_symmetry_Int_Tables_number 62
loop_
_symmetry_equiv_pos_as_xyz
'x,y,z'
'-x,-y,-z'
'-x+1/2,-y,z+1/2'
'x+1/2,y,-z+1/2'
'x+1/2,-y+1/2,-z+1/2'
'-x+1/2,y+1/2,z+1/2'
'-x,y+1/2,-z'
'x,-y+1/2,z'
loop_
_atom_site_label
_atom_site_fract_x
_atom_site_fract_y
_atom_site_fract_z
Nb1 0.042 0.250 0.100
Nb2 0.080 0.750 0.580
Nb3 0.158 0.250 0.773
Al1 0.091 0.750 0.305
Al2 0.230 0.750 0.985
# * DFT formation energy: -3.9 kJ/mol of atoms
# * mass density: 6.1 g cm⁻³

(2)
# CaLaBr5 (PBE, relaxed)
data_CaLaBr5
_chemical_formula_sum 'Ca2 La2 Br10'
_cell_length_a 8.616
_cell_length_b 4.310
_cell_length_c 14.104
_cell_angle_alpha 90.00
_cell_angle_beta 94.03
_cell_angle_gamma 90.00
_symmetry_space_group_name_H-M 'P 1 21/m 1'
_symmetry_Int_Tables_number 11
loop_
_symmetry_equiv_pos_as_xyz
'x,y,z'
'-x,-y,-z'
'-x,y+1/2,-z'
'x,-y+1/2,z'
loop_
_atom_site_label
_atom_site_fract_x
_atom_site_fract_y
_atom_site_fract_z
Ca1 0.085 0.250 0.132
La1 0.414 0.750 0.346
Br1 0.074 0.750 0.308
Br2 0.133 0.250 0.927
Br3 0.319 0.250 0.483
Br4 0.339 0.750 0.133
Br5 0.379 0.750 0.710
# * uncorrected energy: -4.137 eV per atom
# * mass density: 3.7 g cm⁻³